VASP calculation (PBE) on crystalline CsCdNO at its relaxed geometry.

crystal system = orthorhombic
total DFT energy (no corrections) = -27.446 eV for the cell shown

Unit cell a=3.6250 b=6.5105 c=7.5280 alpha=90.00 beta=90.00 gamma=90.00
Sites, in units of the cell vectors:
Cs1 0.5000 0.0012 0.2106
Cs2 0.5000 0.5013 0.7894
Cd1 0.0000 0.5008 0.3130
Cd2 0.0000 0.0008 0.6870
O1 0.5000 0.5004 0.1608
O2 0.5000 0.0004 0.8392
N1 0.0000 0.7515 0.4993
N2 0.0000 0.2515 0.5007